Here is crystalline BaNiOF2 at its relaxed geometry from Alexandria. Energies are from GGA+U.

Computed properties:
Magnetization (μB per cell): 1.1
Offset from the most stable computed form (meV/atom): 1270
D(E_F) (states/eV/f.u.): 0.64
Total energy (eV per atom): -3.88

CIF file:
```
data_BaNiOF2
_space_group_name_H-M_alt 'P 4/m m m'
_space_group_IT_number 123
_space_group_name_Hall '-P 4 2'
_cell_length_a 5.023
_cell_length_b 5.023
_cell_length_c 4.538
_cell_angle_alpha 90.00
_cell_angle_beta 90.00
_cell_angle_gamma 90.00
loop_
_atom_site_label
_atom_site_fract_x
_atom_site_fract_y
_atom_site_fract_z
_atom_site_occupancy
Ba1 0.000 0.000 0.000 1
Ni1 0.500 0.500 0.500 1
O1 0.000 0.000 0.500 1
F1 0.000 0.500 0.000 1
```